No. 1
Computed, not measured: a geometry-optimized NbTcMo2H structure at the PBE-GGA level of DFT.

abc: 3.961 3.961 4.286
angles: 90.00 90.00 90.00
Positions (direct):
Mo1 0.500 0.000 0.000
Mo2 0.000 0.500 0.000
Nb1 0.000 0.000 0.500
H1 0.000 0.000 0.000
Tc1 0.500 0.500 0.500

Properties
Space group ... No. 123
Energy above the lowest structure with this stoichiometry ... 34.7 meV/atom

=====

No. 2
Computed, not measured: a geometry-optimized KZr3B4O12 structure at the PBE-GGA level of DFT.

abc: 6.460 6.460 6.460
angles: 102.47 102.47 102.47
Each line ends with the local moment (μB).
Positions (direct):
O1 0.222 0.407 0.988  0.00
O2 0.362 0.638 0.500  0.00
O3 0.500 0.089 0.911  0.00
O4 0.089 0.911 0.500  0.00
O5 0.593 0.778 0.012  0.00
O6 0.500 0.362 0.638  0.00
O7 0.988 0.222 0.407  0.00
O8 0.407 0.988 0.222  0.00
O9 0.012 0.593 0.778  0.00
O10 0.911 0.500 0.089  0.00
O11 0.638 0.500 0.362  0.00
O12 0.778 0.012 0.593  0.00
B1 0.050 0.500 0.950  0.01
B2 0.950 0.050 0.500  0.01
B3 0.500 0.500 0.500  0.02
B4 0.500 0.950 0.050  0.01
Zr1 0.000 0.547 0.453  0.25
Zr2 0.453 0.000 0.547  0.25
Zr3 0.547 0.453 0.000  0.25
K1 0.000 0.000 0.000  0.00

Properties
Raw total energy ... -8.3594 eV/atom
Space group ... No. 155

=====

No. 3
Computed, not measured: a geometry-optimized Sr5Tl6In structure at the PBE-GGA level of DFT.

abc: 5.745 8.116 8.992
angles: 90.00 71.37 90.00
Positions (direct):
Tl1 0.500 0.243 0.000
Tl2 0.841 0.234 0.319
Tl3 0.500 0.757 0.000
Tl4 0.159 0.766 0.681
Tl5 0.841 0.766 0.319
Tl6 0.159 0.234 0.681
Sr1 0.000 0.500 0.000
Sr2 0.328 0.500 0.345
Sr3 0.663 0.000 0.675
Sr4 0.672 0.500 0.655
Sr5 0.337 0.000 0.325
In1 0.000 0.000 0.000

Properties
Formation enthalpy at 0 K ... -362 meV per atom
Space group ... No. 65

=====

No. 4
Computed, not measured: a geometry-optimized Na3Pu3GaTe8 structure at the PBE-GGA level of DFT.

abc: 8.850 8.851 9.072
angles: 119.19 90.00 120.00
Each line ends with the local moment (μB).
Positions (direct):
Te1 0.233 0.986 0.720  -0.14
Te2 0.745 0.490 0.734  -0.13
Te3 0.767 0.014 0.280  -0.14
Te4 0.255 0.510 0.266  -0.13
Te5 0.767 0.533 0.280  -0.14
Te6 0.247 0.014 0.280  -0.14
Te7 0.753 0.986 0.720  -0.14
Te8 0.233 0.467 0.720  -0.14
Pu1 0.500 0.000 0.500  5.07
Pu2 0.000 0.500 0.500  5.07
Pu3 0.500 0.500 0.500  5.07
Na1 0.000 0.000 0.000  0.00
Na2 0.000 0.500 0.000  0.00
Na3 0.500 0.500 0.000  0.00
Ga1 0.000 0.000 0.500  0.07

Properties
Raw total energy ... -5.8167 eV/atom
Space group ... No. 166

=====

No. 5
Computed, not measured: a geometry-optimized Hf2MnVH structure at the PBE-GGA level of DFT.

abc: 4.576 4.576 3.359
angles: 90.00 90.00 90.00
Each line ends with the local moment (μB).
Positions (direct):
H1 0.000 0.000 0.000  0.00
Hf1 0.000 0.500 0.000  0.08
Hf2 0.500 0.000 0.000  0.08
Mn1 0.000 0.000 0.500  0.64
V1 0.500 0.500 0.500  1.74

Properties
Raw total energy ... -8.3885 eV/atom
Space group ... No. 123

=====

No. 6
Computed, not measured: a geometry-optimized LiIrO3 structure at the PBE-GGA level of DFT.

abc: 5.261 5.261 5.714
angles: 105.80 105.80 118.70
Each line ends with the local moment (μB).
Positions (direct):
Li1 0.802 0.802 0.645  0.01
Li2 0.198 0.198 0.355  0.01
O1 0.886 0.247 0.792  0.14
O2 0.507 0.507 0.233  0.10
O3 0.247 0.886 0.792  0.14
O4 0.753 0.114 0.208  0.14
O5 0.493 0.493 0.767  0.10
O6 0.114 0.753 0.208  0.14
Ir1 0.332 0.668 0.000  0.63
Ir2 0.668 0.332 0.000  0.63

Properties
Raw total energy ... -6.2265 eV/atom
Space group ... No. 12

=====

No. 7
Computed, not measured: a geometry-optimized Nb4Bi structure at the PBE-GGA level of DFT.

abc: 5.071 5.071 5.071
angles: 90.00 90.00 90.00
Positions (direct):
Nb1 0.500 0.500 0.000
Nb2 0.500 0.000 0.500
Nb3 0.000 0.500 0.500
Nb4 0.000 0.000 0.000
Bi1 0.500 0.500 0.500

Properties
Formation enthalpy at 0 K ... 2038 meV per atom
Space group ... No. 221

=====

No. 8
Computed, not measured: a geometry-optimized Mg7Si2H6O14 structure at the PBE-GGA level of DFT.

abc: 7.948 7.948 9.664
angles: 90.00 90.00 120.00
Positions (direct):
O1 0.837 0.289 0.267
O2 0.289 0.452 0.767
O3 0.972 0.800 0.523
O4 0.173 0.972 0.023
O5 0.800 0.827 0.023
O6 0.711 0.548 0.267
O7 0.378 0.902 0.516
O8 0.902 0.524 0.016
O9 0.476 0.378 0.016
O10 0.333 0.667 0.999
O11 0.437 0.171 0.761
O12 0.000 0.000 0.267
O13 0.667 0.333 0.499
O14 0.265 0.437 0.261
O15 0.524 0.622 0.516
O16 0.735 0.563 0.761
O17 0.452 0.163 0.267
O18 0.829 0.265 0.761
O19 0.200 0.173 0.523
O20 0.563 0.829 0.261
O21 0.098 0.476 0.516
O22 0.827 0.028 0.523
O23 0.163 0.711 0.767
O24 0.000 0.000 0.767
O25 0.548 0.837 0.767
O26 0.028 0.200 0.023
O27 0.171 0.735 0.261
O28 0.622 0.098 0.016
H1 0.166 0.457 0.595
H2 0.650 0.970 0.262
H3 0.680 0.650 0.762
H4 0.291 0.834 0.595
H5 0.709 0.166 0.095
H6 0.457 0.291 0.095
H7 0.030 0.680 0.262
H8 0.350 0.030 0.762
H9 0.970 0.320 0.762
H10 0.320 0.350 0.262
H11 0.834 0.543 0.095
H12 0.543 0.709 0.595
Mg1 0.546 0.630 0.113
Mg2 0.083 0.454 0.113
Mg3 0.917 0.546 0.613
Mg4 0.244 0.225 0.888
Mg5 0.333 0.667 0.398
Mg6 0.756 0.775 0.388
Mg7 0.454 0.370 0.613
Mg8 0.370 0.917 0.113
Mg9 0.981 0.756 0.888
Mg10 0.019 0.244 0.388
Mg11 0.630 0.083 0.613
Mg12 0.775 0.019 0.888
Mg13 0.667 0.333 0.898
Mg14 0.225 0.981 0.388
Si1 0.000 0.000 0.098
Si2 0.333 0.667 0.826
Si3 0.000 0.000 0.598
Si4 0.667 0.333 0.326

Properties
Raw total energy ... -6.1121 eV/atom
Space group ... No. 173

=====

Repeat the fifth record exactly.
Computed, not measured: a geometry-optimized Hf2MnVH structure at the PBE-GGA level of DFT.

abc: 4.576 4.576 3.359
angles: 90.00 90.00 90.00
Each line ends with the local moment (μB).
Positions (direct):
H1 0.000 0.000 0.000  0.00
Hf1 0.000 0.500 0.000  0.08
Hf2 0.500 0.000 0.000  0.08
Mn1 0.000 0.000 0.500  0.64
V1 0.500 0.500 0.500  1.74

Properties
Raw total energy ... -8.3885 eV/atom
Space group ... No. 123